[1]
{"formula": "Rb3GeP", "functional": "meta-GGA SCAN", "state": "single point on PBEsol structure", "vol_a3_per_fu": 259, "formation_enthalpy_0k_ev_per_atom": 0.28, "cell": [[6.373, 0.000, 0.000], [0.000, 6.373, 0.000], [0.000, 0.000, 6.373]], "species": ["Rb", "Rb", "Rb", "Ge", "P"], "frac_coords": [[0.000, 0.000, 0.500], [0.000, 0.500, 0.000], [0.500, 0.000, 0.000], [0.500, 0.500, 0.500], [0.000, 0.000, 0.000]]}

=====

[2]
{"formula": "BaCuRh2", "functional": "meta-GGA SCAN", "state": "single point on PBEsol structure", "vol_a3_per_fu": 72, "formation_enthalpy_0k_ev_per_atom": 0.46, "relative_energy_ev_per_fu": 2.368, "cell": [[3.066, 0.000, 0.000], [0.000, 4.990, 0.000], [0.000, 0.000, 9.359]], "species": ["Ba", "Ba", "Cu", "Cu", "Rh", "Rh", "Rh", "Rh"], "frac_coords": [[0.000, 0.000, 0.000], [0.500, 0.500, 0.500], [0.000, 0.000, 0.500], [0.500, 0.500, 0.000], [0.000, 0.500, 0.223], [0.000, 0.500, 0.777], [0.500, 0.000, 0.277], [0.500, 0.000, 0.723]]}